Density functional theory data (PBE) for crystalline Li3Cd13 at its relaxed geometry.

N(E_F) = 3.9 states/eV per cell
energy relative to the elements = -0.105 eV/atom
total moment = 0.00 μB/atom
E = -1.21 eV per atom

```
Li3Cd13
1.0
7.778 0.000 0.000
0.000 4.638 4.661
0.000 -4.638 4.661
Li Cd
3 13
Direct
0.000 0.000 0.000
0.252 0.251 0.251
0.748 0.251 0.251
0.000 0.013 0.483
0.000 0.483 0.013
0.000 0.486 0.486
0.245 0.244 0.757
0.245 0.757 0.244
0.246 0.753 0.753
0.500 0.013 0.490
0.500 0.015 0.015
0.500 0.490 0.013
0.500 0.494 0.494
0.754 0.753 0.753
0.755 0.244 0.757
0.755 0.757 0.244
```